# HfGaCo2O6

A relaxed structure of HfGaCo2O6 (GGA+U, Alexandria).

Unit cell a=5.066 b=5.141 c=5.500 alpha=60.92 beta=62.38 gamma=59.71
Each line ends with the local moment (μB).
Fractional coordinates of all 10 atoms:
Co: 0.013 0.011 0.965  0.06
O: 0.735 0.112 0.743  -0.01
O: 0.912 0.629 0.244  0.00
O: 0.106 0.410 0.746  0.00
O: 0.405 0.742 0.754  0.02
Ga: 0.806 0.815 0.570  0.00
Hf: 0.312 0.318 0.056  0.01
O: 0.636 0.205 0.243  0.01
O: 0.217 0.906 0.247  -0.02
Co: 0.518 0.514 0.448  0.92

Computed properties:
crystal system: triclinic
mass density: 7.42 g/cm3
raw total energy: -71.176 eV per formula unit